Entry 1:
Y4TlI5: relaxed, PBE.

a = 9.7957 Å, b = 9.7957 Å, c = 8.9321 Å
α = 101.39°, β = 101.39°, γ = 25.56°
Positions (direct):
Y 0.0016 0.0016 0.2269
Y 0.3431 0.3431 0.9267
Y 0.6569 0.6569 0.0733
Y 0.9984 0.9984 0.7731
Tl 0.5000 0.5000 0.0000
I 0.1682 0.1682 0.3304
I 0.1717 0.1717 0.8243
I 0.5000 0.5000 0.5000
I 0.8283 0.8283 0.1757
I 0.8318 0.8318 0.6696

Summary:
density = 5.48 Mg/m³
energy relative to the elements, uncorrected = -0.9825 eV/atom

Entry 2:
Y2TlI2: relaxed, PBE.

a = 4.1756 Å, b = 4.1756 Å, c = 35.8052 Å
α = 90.00°, β = 90.00°, γ = 120.00°
Positions (direct):
Y 0.0000 0.0000 0.1118
Y 0.0000 0.0000 0.8882
Y 0.3333 0.6667 0.5549
Y 0.3333 0.6667 0.7784
Y 0.6667 0.3333 0.2216
Y 0.6667 0.3333 0.4451
Tl 0.0000 0.0000 0.5000
Tl 0.3333 0.6667 0.1667
Tl 0.6667 0.3333 0.8333
I 0.0000 0.0000 0.2771
I 0.0000 0.0000 0.7229
I 0.3333 0.6667 0.3895
I 0.3333 0.6667 0.9438
I 0.6667 0.3333 0.0562
I 0.6667 0.3333 0.6105

Summary:
density = 5.86 Mg/m³
energy relative to the elements, uncorrected = -0.9199 eV/atom

Entry 3:
YTlI2: relaxed, PBE.

a = 10.5276 Å, b = 10.5276 Å, c = 6.5403 Å
α = 90.00°, β = 90.00°, γ = 90.00°
Positions (direct):
Y 0.0000 0.0000 0.0000
Y 0.0000 0.5000 0.2500
Y 0.5000 0.0000 0.7500
Y 0.5000 0.5000 0.5000
Tl 0.0000 0.0000 0.5000
Tl 0.0000 0.5000 0.7500
Tl 0.5000 0.0000 0.2500
Tl 0.5000 0.5000 0.0000
I 0.1211 0.7500 0.1250
I 0.2500 0.1211 0.8750
I 0.2500 0.3789 0.3750
I 0.3789 0.7500 0.6250
I 0.6211 0.2500 0.6250
I 0.7500 0.6211 0.3750
I 0.7500 0.8789 0.8750
I 0.8789 0.2500 0.1250

Summary:
density = 5.01 Mg/m³
energy relative to the elements, uncorrected = -0.6166 eV/atom

Entry 4:
YTlI3: relaxed, PBE.

a = 6.0393 Å, b = 6.0393 Å, c = 6.0393 Å
α = 90.00°, β = 90.00°, γ = 90.00°
Positions (direct):
Y 0.0000 0.0000 0.0000
Tl 0.5000 0.5000 0.5000
I 0.0000 0.0000 0.5000
I 0.0000 0.5000 0.0000
I 0.5000 0.0000 0.0000

Summary:
density = 5.08 Mg/m³
energy relative to the elements, uncorrected = -0.8320 eV/atom

Entry 5:
YTlI: relaxed, PBE.

a = 7.9577 Å, b = 4.5937 Å, c = 12.1709 Å
α = 90.00°, β = 102.74°, γ = 90.00°
Positions (direct):
Y 0.0607 0.0000 0.1798
Y 0.4393 0.5000 0.8202
Y 0.5607 0.5000 0.1798
Y 0.9393 0.0000 0.8202
Tl 0.1487 0.5000 0.9468
Tl 0.3513 0.0000 0.0532
Tl 0.6487 0.0000 0.9468
Tl 0.8513 0.5000 0.0532
I 0.2200 0.0000 0.6641
I 0.2800 0.5000 0.3359
I 0.7200 0.5000 0.6641
I 0.7800 0.0000 0.3359

Summary:
density = 6.43 Mg/m³
energy relative to the elements, uncorrected = -0.7418 eV/atom

Entry 6:
YTl3I6: relaxed, PBE.

a = 8.2228 Å, b = 9.1286 Å, c = 14.0492 Å
α = 90.00°, β = 121.61°, γ = 90.00°
Positions (direct):
Y 0.0000 0.0000 0.0000
Y 0.0000 0.5000 0.5000
Tl 0.3082 0.0947 0.7710
Tl 0.3082 0.4053 0.2710
Tl 0.5000 0.0000 0.5000
Tl 0.5000 0.5000 0.0000
Tl 0.6918 0.5947 0.7290
Tl 0.6918 0.9053 0.2290
I 0.0889 0.0586 0.2359
I 0.0889 0.4414 0.7359
I 0.2344 0.7174 0.0791
I 0.2344 0.7826 0.5791
I 0.3564 0.1680 0.0509
I 0.3564 0.3320 0.5509
I 0.6436 0.6680 0.4491
I 0.6436 0.8320 0.9491
I 0.7656 0.2174 0.4209
I 0.7656 0.2826 0.9209
I 0.9111 0.5586 0.2641
I 0.9111 0.9414 0.7641

Summary:
density = 5.41 Mg/m³
energy relative to the elements, uncorrected = -0.9585 eV/atom

Entry 7:
YTl2I5: relaxed, PBE.

a = 14.1479 Å, b = 9.6713 Å, c = 9.3596 Å
α = 90.00°, β = 90.00°, γ = 90.00°
Positions (direct):
Y 0.0063 0.2500 0.0782
Y 0.4937 0.7500 0.5782
Y 0.5063 0.2500 0.4218
Y 0.9937 0.7500 0.9218
Tl 0.1701 0.0066 0.5906
Tl 0.1701 0.4934 0.5906
Tl 0.3299 0.5066 0.0906
Tl 0.3299 0.9934 0.0906
Tl 0.6701 0.0066 0.9094
Tl 0.6701 0.4934 0.9094
Tl 0.8299 0.5066 0.4094
Tl 0.8299 0.9934 0.4094
I 0.0058 0.2500 0.4216
I 0.0634 0.5485 0.1727
I 0.0634 0.9515 0.1727
I 0.1936 0.2500 0.9073
I 0.2057 0.7500 0.8570
I 0.2943 0.2500 0.3570
I 0.3064 0.7500 0.4073
I 0.4366 0.0485 0.6727
I 0.4366 0.4515 0.6727
I 0.4942 0.7500 0.9216
I 0.5058 0.2500 0.0784
I 0.5634 0.5485 0.3273
I 0.5634 0.9515 0.3273
I 0.6936 0.2500 0.5927
I 0.7057 0.7500 0.6430
I 0.7943 0.2500 0.1430
I 0.8064 0.7500 0.0927
I 0.9366 0.0485 0.8273
I 0.9366 0.4515 0.8273
I 0.9942 0.7500 0.5784

Summary:
density = 5.87 Mg/m³
energy relative to the elements, uncorrected = -1.0196 eV/atom

Entry 8:
YTlI2: relaxed, PBE.

a = 7.9980 Å, b = 7.9980 Å, c = 7.9980 Å
α = 90.00°, β = 90.00°, γ = 90.00°
Positions (direct):
Y 0.0000 0.0000 0.0000
Y 0.0000 0.5000 0.5000
Y 0.5000 0.0000 0.5000
Y 0.5000 0.5000 0.0000
Tl 0.0000 0.0000 0.5000
Tl 0.0000 0.5000 0.0000
Tl 0.5000 0.0000 0.0000
Tl 0.5000 0.5000 0.5000
I 0.2500 0.2500 0.2500
I 0.2500 0.2500 0.7500
I 0.2500 0.7500 0.2500
I 0.2500 0.7500 0.7500
I 0.7500 0.2500 0.2500
I 0.7500 0.2500 0.7500
I 0.7500 0.7500 0.2500
I 0.7500 0.7500 0.7500

Summary:
density = 7.10 Mg/m³
energy relative to the elements, uncorrected = -0.4720 eV/atom

Entry 9:
Tl2Zn2I: relaxed, PBE.

a = 8.9707 Å, b = 8.9707 Å, c = 3.8170 Å
α = 90.00°, β = 90.00°, γ = 90.00°
Positions (direct):
Tl 0.1884 0.3116 0.0000
Tl 0.3116 0.8116 0.0000
Tl 0.6884 0.1884 0.0000
Tl 0.8116 0.6884 0.0000
Zn 0.1103 0.6103 0.5000
Zn 0.3897 0.1103 0.5000
Zn 0.6103 0.8897 0.5000
Zn 0.8897 0.3897 0.5000
I 0.0000 0.0000 0.0000
I 0.5000 0.5000 0.0000

Summary:
density = 7.21 Mg/m³
energy relative to the elements, uncorrected = 0.0689 eV/atom

Entry 10:
Tl3ZnI6: relaxed, PBE.

a = 12.0031 Å, b = 12.0031 Å, c = 6.8090 Å
α = 90.00°, β = 90.00°, γ = 104.51°
Positions (direct):
Tl 0.1169 0.8831 0.5000
Tl 0.2015 0.4398 0.5253
Tl 0.4398 0.2015 0.0253
Tl 0.5602 0.7985 0.5253
Tl 0.7985 0.5602 0.0253
Tl 0.8831 0.1169 0.0000
Zn 0.2960 0.7040 0.1124
Zn 0.7040 0.2960 0.6124
I 0.0826 0.6180 0.2395
I 0.1575 0.1651 0.2748
I 0.1651 0.1575 0.7748
I 0.2860 0.7140 0.7295
I 0.3820 0.9174 0.2395
I 0.4296 0.5704 0.2158
I 0.5704 0.4296 0.7158
I 0.6180 0.0826 0.7395
I 0.7140 0.2860 0.2295
I 0.8349 0.8425 0.2748
I 0.8425 0.8349 0.7748
I 0.9174 0.3820 0.7395

Summary:
density = 5.04 Mg/m³
energy relative to the elements, uncorrected = -0.5459 eV/atom

Entry 11:
TlZn2I2: relaxed, PBE.

a = 3.9809 Å, b = 3.9809 Å, c = 19.6398 Å
α = 90.00°, β = 90.00°, γ = 90.00°
Positions (direct):
Tl 0.0000 0.0000 0.0000
Tl 0.5000 0.5000 0.5000
Zn 0.0000 0.5000 0.2500
Zn 0.0000 0.5000 0.7500
Zn 0.5000 0.0000 0.2500
Zn 0.5000 0.0000 0.7500
I 0.0000 0.0000 0.3895
I 0.0000 0.0000 0.6105
I 0.5000 0.5000 0.1105
I 0.5000 0.5000 0.8895

Summary:
density = 6.28 Mg/m³
energy relative to the elements, uncorrected = -0.1016 eV/atom

Entry 12:
Tl2ZnI5: relaxed, PBE.

a = 6.7294 Å, b = 7.5904 Å, c = 8.3029 Å
α = 109.93°, β = 94.41°, γ = 113.25°
Positions (direct):
Tl 0.0000 0.0000 0.0000
Tl 0.4711 0.9578 0.5074
Zn 0.0481 0.4600 0.6902
I 0.0383 0.0889 0.6206
I 0.3971 0.8255 0.8680
I 0.4425 0.4372 0.3424
I 0.7374 0.4554 0.8595
I 0.9412 0.4421 0.3592

Summary:
density = 5.18 Mg/m³
energy relative to the elements, uncorrected = -0.5133 eV/atom

Entry 13:
TlZn3I9: relaxed, PBE.

a = 11.3989 Å, b = 11.3989 Å, c = 14.6890 Å
α = 125.33°, β = 125.33°, γ = 52.33°
Positions (direct):
Tl 0.2240 0.7760 0.5000
Tl 0.7760 0.2240 0.0000
Zn 0.0163 0.2554 0.8285
Zn 0.2554 0.0163 0.3285
Zn 0.2903 0.4269 0.6705
Zn 0.4269 0.2903 0.1705
Zn 0.6532 0.8053 0.2214
Zn 0.8053 0.6532 0.7214
I 0.0708 0.2256 0.2199
I 0.0761 0.9475 0.3322
I 0.1600 0.4380 0.0245
I 0.2256 0.0708 0.7199
I 0.2993 0.6719 0.7049
I 0.3552 0.4265 0.3658
I 0.4265 0.3552 0.8658
I 0.4380 0.1600 0.5245
I 0.4518 0.7552 0.2202
I 0.4686 0.9963 0.0933
I 0.5422 0.7694 0.5599
I 0.6719 0.2993 0.2049
I 0.7552 0.4518 0.7202
I 0.7694 0.5422 0.0599
I 0.8635 0.8679 0.4344
I 0.8679 0.8635 0.9344
I 0.9475 0.0761 0.8322
I 0.9963 0.4686 0.5933

Summary:
density = 4.43 Mg/m³
energy relative to the elements, uncorrected = -0.4145 eV/atom

Entry 14:
Tl6ZnI8: relaxed, PBE.

a = 9.0017 Å, b = 9.0017 Å, c = 9.0017 Å
α = 70.93°, β = 70.93°, γ = 70.93°
Positions (direct):
Tl 0.0311 0.4462 0.7986
Tl 0.2014 0.9689 0.5538
Tl 0.4462 0.7986 0.0311
Tl 0.5538 0.2014 0.9689
Tl 0.7986 0.0311 0.4462
Tl 0.9689 0.5538 0.2014
Zn 0.5000 0.5000 0.5000
I 0.1609 0.1609 0.1609
I 0.1915 0.6488 0.4104
I 0.3512 0.5896 0.8085
I 0.4104 0.1915 0.6488
I 0.5896 0.8085 0.3512
I 0.6488 0.4104 0.1915
I 0.8085 0.3512 0.5896
I 0.8391 0.8391 0.8391

Summary:
density = 6.07 Mg/m³
energy relative to the elements, uncorrected = -0.5911 eV/atom

Entry 15:
Tl2Zn2I: relaxed, PBE.

a = 4.9933 Å, b = 4.9933 Å, c = 11.9213 Å
α = 90.00°, β = 90.00°, γ = 90.00°
Positions (direct):
Tl 0.0000 0.5000 0.2500
Tl 0.0000 0.5000 0.7500
Tl 0.5000 0.0000 0.2500
Tl 0.5000 0.0000 0.7500
Zn 0.0000 0.0000 0.1035
Zn 0.0000 0.0000 0.8965
Zn 0.5000 0.5000 0.3965
Zn 0.5000 0.5000 0.6035
I 0.0000 0.0000 0.5000
I 0.5000 0.5000 0.0000

Summary:
density = 7.45 Mg/m³
energy relative to the elements, uncorrected = 0.0568 eV/atom

Entry 16:
TlZn2I6: relaxed, PBE.

a = 10.5753 Å, b = 10.5753 Å, c = 7.4109 Å
α = 105.19°, β = 105.19°, γ = 84.76°
Positions (direct):
Tl 0.2100 0.7900 0.7500
Tl 0.7900 0.2100 0.2500
Zn 0.2080 0.3693 0.7270
Zn 0.3693 0.2080 0.2270
Zn 0.6307 0.7920 0.7730
Zn 0.7920 0.6307 0.2730
I 0.0366 0.1857 0.6044
I 0.1070 0.5858 0.9200
I 0.1857 0.0366 0.1044
I 0.2961 0.4301 0.4584
I 0.4142 0.8930 0.5800
I 0.4301 0.2961 0.9584
I 0.5699 0.7039 0.0416
I 0.5858 0.1070 0.4200
I 0.7039 0.5699 0.5416
I 0.8143 0.9634 0.8956
I 0.8930 0.4142 0.0800
I 0.9634 0.8143 0.3956

Summary:
density = 4.72 Mg/m³
energy relative to the elements, uncorrected = -0.4782 eV/atom

Entry 17:
TlZn2I: relaxed, PBE.

a = 7.9042 Å, b = 7.9042 Å, c = 7.9042 Å
α = 90.00°, β = 90.00°, γ = 90.00°
Positions (direct):
Tl 0.0000 0.0000 0.0000
Tl 0.0000 0.5000 0.5000
Tl 0.5000 0.0000 0.5000
Tl 0.5000 0.5000 0.0000
Zn 0.2500 0.2500 0.2500
Zn 0.2500 0.2500 0.7500
Zn 0.2500 0.7500 0.2500
Zn 0.2500 0.7500 0.7500
Zn 0.7500 0.2500 0.2500
Zn 0.7500 0.2500 0.7500
Zn 0.7500 0.7500 0.2500
Zn 0.7500 0.7500 0.7500
I 0.0000 0.0000 0.5000
I 0.0000 0.5000 0.0000
I 0.5000 0.0000 0.0000
I 0.5000 0.5000 0.5000

Summary:
density = 6.22 Mg/m³
energy relative to the elements, uncorrected = 0.1961 eV/atom

Entry 18:
Tl2Zn2I7: relaxed, PBE.

a = 8.6237 Å, b = 8.6237 Å, c = 7.1986 Å
α = 96.16°, β = 96.16°, γ = 102.29°
Positions (direct):
Tl 0.2001 0.7999 0.0000
Tl 0.7999 0.2001 0.0000
Zn 0.2656 0.2656 0.5831
Zn 0.7344 0.7344 0.4169
I 0.0849 0.4166 0.7703
I 0.1088 0.1088 0.2623
I 0.4166 0.0849 0.7703
I 0.5000 0.5000 0.5000
I 0.5834 0.9151 0.2297
I 0.8912 0.8912 0.7377
I 0.9151 0.5834 0.2297

Summary:
density = 4.60 Mg/m³
energy relative to the elements, uncorrected = -0.4720 eV/atom

Entry 19:
Tl2Zn2I: relaxed, PBE.

a = 8.4663 Å, b = 8.4663 Å, c = 3.9857 Å
α = 90.00°, β = 90.00°, γ = 90.00°
Positions (direct):
Tl 0.1941 0.3059 0.0000
Tl 0.3059 0.8059 0.0000
Tl 0.6941 0.1941 0.0000
Tl 0.8059 0.6941 0.0000
Zn 0.1098 0.6098 0.5000
Zn 0.3902 0.1098 0.5000
Zn 0.6098 0.8902 0.5000
Zn 0.8902 0.3902 0.5000
I 0.0000 0.0000 0.5000
I 0.5000 0.5000 0.5000

Summary:
density = 7.75 Mg/m³
energy relative to the elements, uncorrected = 0.0326 eV/atom

Entry 20:
TlZn2I: relaxed, PBE.

a = 7.0649 Å, b = 7.0649 Å, c = 11.6051 Å
α = 90.00°, β = 90.00°, γ = 90.00°
Positions (direct):
Tl 0.0000 0.0000 0.0000
Tl 0.0000 0.5000 0.2500
Tl 0.5000 0.0000 0.7500
Tl 0.5000 0.5000 0.5000
Zn 0.2249 0.2500 0.1250
Zn 0.2500 0.7249 0.3750
Zn 0.2500 0.7751 0.8750
Zn 0.2751 0.2500 0.6250
Zn 0.7249 0.7500 0.6250
Zn 0.7500 0.2249 0.8750
Zn 0.7500 0.2751 0.3750
Zn 0.7751 0.7500 0.1250
I 0.0000 0.0000 0.5000
I 0.0000 0.5000 0.7500
I 0.5000 0.0000 0.2500
I 0.5000 0.5000 0.0000

Summary:
density = 5.30 Mg/m³
energy relative to the elements, uncorrected = 0.1248 eV/atom

Entry 21:
Tl2Zn2I: relaxed, PBE.

a = 3.9775 Å, b = 3.9775 Å, c = 18.2623 Å
α = 90.00°, β = 90.00°, γ = 90.00°
Positions (direct):
Tl 0.0000 0.0000 0.1162
Tl 0.0000 0.0000 0.8838
Tl 0.5000 0.5000 0.3838
Tl 0.5000 0.5000 0.6162
Zn 0.0000 0.5000 0.2500
Zn 0.0000 0.5000 0.7500
Zn 0.5000 0.0000 0.2500
Zn 0.5000 0.0000 0.7500
I 0.0000 0.0000 0.5000
I 0.5000 0.5000 0.0000

Summary:
density = 7.66 Mg/m³
energy relative to the elements, uncorrected = 0.0054 eV/atom